# Pm7NdAg4

Crystalline Pm7NdAg4 at its relaxed geometry (PBE-GGA, Alexandria via LeMat-Bulk).

Calculated formation energy (eV per atom): 0.03
Fermi-level density of states (states/eV/f.u.): 14.457
Size of the total moment (Bohr magnetons per cell): 0.277
DFT total energy (hartree per atom): -0.1502
Crystal system: monoclinic

a b c (Å): 13.755 5.739 10.880
angles (deg): 90.00 124.47 90.00
Space group C2/m (No. 12)
Inequivalent atoms, fractional coordinates:
Pm  0.000  0.000  0.000 [2 per cell]
Pm  0.063  0.500  0.384 [4 per cell]
Pm  0.186  0.000  0.625 [4 per cell]
Pm  0.215  0.500  0.879 [4 per cell]
Nd  0.000  0.500  0.000 [2 per cell]
Ag  0.061  0.000  0.776 [4 per cell]
Ag  0.188  0.000  0.335 [4 per cell]